Entry 1:
This record from Alexandria via LeMat-Bulk describes crystalline Nb5O12F at its relaxed geometry. The functional is GGA-PBEsol.

It has space group Pmma (No. 51), with a = 17.8689 Å, b = 3.8321 Å, c = 6.4778 Å, α = 90.00°, β = 90.00° and γ = 90.00°. Symmetry generates all atoms from Nb at (0.0643, 0.0000, 0.1907), Nb at (0.1430, 0.0000, 0.7159), Nb at (0.2500, 0.0000, 0.2595), O at (0.0481, 0.0000, 0.8818), O at (0.0580, 0.5000, 0.2218), O at (0.1283, 0.5000, 0.6974), O at (0.1465, 0.0000, 0.4066), O at (0.1709, 0.0000, 0.0367), O at (0.2500, 0.0000, 0.6925), O at (0.2500, 0.5000, 0.3088) and F at (0.0000, 0.0000, 0.5000).

The uncorrected formation energy is -2.54 eV/atom. As for the total magnetization: 0.000 μB/cell. The total energy comes out at -329.59 eV for the cell shown.

***

Entry 2:
This record from Alexandria via LeMat-Bulk describes crystalline RuPbCl2 at its relaxed geometry. The functional is GGA-PBEsol.

It has space group Pm (No. 6), with a = 4.6110 Å, b = 3.1952 Å, c = 6.7448 Å, α = 90.00°, β = 109.93° and γ = 90.00°. Symmetry generates all atoms from Ru at (0.0000, 0.0000, 0.0000), Pb at (0.4271, 0.5000, 0.8539), Cl at (0.1273, 0.5000, 0.2571) and Cl at (0.8145, 0.0000, 0.6274).

The uncorrected formation energy is -0.12 eV/atom. As for the total magnetization: 0.000 μB/cell. The total energy comes out at -18.68 eV for the cell shown.

***

Entry 3:
This record from Alexandria via LeMat-Bulk describes crystalline CdTcNi2 at its relaxed geometry. The functional is GGA-PBEsol.

It has space group P4/mmm (No. 123), with a = 2.6785 Å, b = 2.6785 Å, c = 7.3736 Å, α = 90.00°, β = 90.00° and γ = 90.00°. Symmetry generates all atoms from Cd at (0.0000, 0.0000, 0.0000), Tc at (0.0000, 0.0000, 0.5000) and Ni at (0.5000, 0.5000, 0.2707).

As for the total magnetization: 0.001 μB/cell. The total energy comes out at -24.61 eV for the cell shown. The value obtained for the calculated formation energy is 0.2 eV/f.u.

***

Entry 4:
This record from Alexandria via LeMat-Bulk describes crystalline Li3Ag at its relaxed geometry. The functional is GGA-PBEsol.

It has space group Pnma (No. 62), with a = 5.0253 Å, b = 9.1939 Å, c = 5.7034 Å, α = 90.00°, β = 90.00° and γ = 90.00°. Symmetry generates all atoms from Li at (0.0680, 0.2500, 0.1123), Li at (0.2333, 0.5089, 0.3700) and Ag at (0.0846, 0.2500, 0.6181).

As for the total magnetization: 0.000 μB/cell. The total energy comes out at -38.58 eV for the cell shown. The value obtained for the calculated formation energy is -0.4 eV/f.u.